Ta2RuF: relaxed, PBE-GGA. Values from VASP.

Quantum ESPRESSO input file:
```
&SYSTEM
  ibrav = 0, nat = 8, ntyp = 3
/
ATOMIC_SPECIES
Ta 180.95 Ta.upf
Ru 101.07 Ru.upf
F 19.00 F.upf
CELL_PARAMETERS angstrom
4.674 0.000 0.000
0.000 4.674 0.000
2.337 2.337 6.577
ATOMIC_POSITIONS crystal
Ta 0.562 0.125 0.250
Ru 0.750 0.250 0.500
Ru 0.000 0.000 0.000
Ta 0.188 0.625 0.250
F 0.250 0.750 0.500
Ta 0.875 0.812 0.750
Ta 0.375 0.438 0.750
F 0.500 0.500 0.000
```

## Properties
Energy relative to the elements, uncorrected (eV per atom): 0.14
Relative energy among the computed polymorphs (meV per atom): 419

=====

Ta2RuF2: relaxed, PBE-GGA. Values from VASP.

Quantum ESPRESSO input file:
```
&SYSTEM
  ibrav = 0, nat = 10, ntyp = 3
/
ATOMIC_SPECIES
Ru 101.07 Ru.upf
Ta 180.95 Ta.upf
F 19.00 F.upf
CELL_PARAMETERS angstrom
7.249 0.000 0.000
0.000 7.249 0.000
0.000 0.000 2.767
ATOMIC_POSITIONS crystal
Ru 0.500 0.500 0.000
Ta 0.241 0.741 0.500
F 0.397 0.897 0.000
Ta 0.741 0.759 0.500
F 0.103 0.397 0.000
Ta 0.759 0.259 0.500
F 0.897 0.603 0.000
F 0.603 0.103 0.000
Ru 0.000 0.000 0.000
Ta 0.259 0.241 0.500
```

## Properties
Energy relative to the elements, uncorrected (eV per atom): -0.48
Relative energy among the computed polymorphs (meV per atom): 0

=====

Ta3RuF: relaxed, PBE-GGA. Values from VASP.

Quantum ESPRESSO input file:
```
&SYSTEM
  ibrav = 0, nat = 5, ntyp = 3
/
ATOMIC_SPECIES
F 19.00 F.upf
Ta 180.95 Ta.upf
Ru 101.07 Ru.upf
CELL_PARAMETERS angstrom
-3.906 2.475 1.340
1.000 -0.923 4.618
2.631 4.025 0.234
ATOMIC_POSITIONS crystal
F 0.500 0.500 0.500
Ta 0.500 0.000 0.000
Ta 0.000 0.000 0.500
Ta 0.000 0.500 0.000
Ru 0.000 0.000 0.000
```

## Properties
Energy relative to the elements, uncorrected (eV per atom): 1.06
Relative energy among the computed polymorphs (meV per atom): 851

=====

Ta3RuF: relaxed, PBE-GGA. Values from VASP.

Quantum ESPRESSO input file:
```
&SYSTEM
  ibrav = 0, nat = 5, ntyp = 3
/
ATOMIC_SPECIES
Ru 101.07 Ru.upf
Ta 180.95 Ta.upf
F 19.00 F.upf
CELL_PARAMETERS angstrom
-4.117 -0.609 -0.957
-0.209 -3.134 2.893
-1.115 2.836 2.992
ATOMIC_POSITIONS crystal
Ru 0.500 0.500 0.500
Ta 0.000 0.500 0.000
F 0.000 0.000 0.000
Ta 0.500 0.000 0.000
Ta 0.000 0.000 0.500
```

## Properties
Energy relative to the elements, uncorrected (eV per atom): 0.21
Relative energy among the computed polymorphs (meV per atom): 0

=====

TaRu2F: relaxed, PBE-GGA. Values from VASP.

Quantum ESPRESSO input file:
```
&SYSTEM
  ibrav = 0, nat = 8, ntyp = 3
/
ATOMIC_SPECIES
F 19.00 F.upf
Ru 101.07 Ru.upf
Ta 180.95 Ta.upf
CELL_PARAMETERS angstrom
-1.015 -4.355 -5.082
6.510 -1.835 0.272
2.169 -4.901 -0.742
ATOMIC_POSITIONS crystal
F 0.250 0.750 0.500
Ru 0.375 0.415 0.750
Ta 0.750 0.250 0.500
Ru 0.585 0.125 0.250
Ru 0.875 0.835 0.750
F 0.500 0.500 0.000
Ta 0.000 0.000 0.000
Ru 0.165 0.625 0.250
```

## Properties
Energy relative to the elements, uncorrected (eV per atom): 0.11
Relative energy among the computed polymorphs (meV per atom): 43

=====

Ta2RuF: relaxed, PBE-GGA. Values from VASP.

Quantum ESPRESSO input file:
```
&SYSTEM
  ibrav = 0, nat = 4, ntyp = 3
/
ATOMIC_SPECIES
Ru 101.07 Ru.upf
Ta 180.95 Ta.upf
F 19.00 F.upf
CELL_PARAMETERS angstrom
-0.907 -3.937 -1.808
0.882 -3.717 2.234
-3.314 -2.459 1.599
ATOMIC_POSITIONS crystal
Ru 0.500 0.500 0.500
Ta 0.250 0.250 0.250
Ta 0.750 0.750 0.750
F 0.000 0.000 0.000
```

## Properties
Energy relative to the elements, uncorrected (eV per atom): -0.28
Relative energy among the computed polymorphs (meV per atom): 0

=====

TaRu2F: relaxed, PBE-GGA. Values from VASP.

Quantum ESPRESSO input file:
```
&SYSTEM
  ibrav = 0, nat = 4, ntyp = 3
/
ATOMIC_SPECIES
Ta 180.95 Ta.upf
Ru 101.07 Ru.upf
F 19.00 F.upf
CELL_PARAMETERS angstrom
0.847 -4.108 1.104
-1.646 -1.645 3.660
-3.139 -2.987 -0.185
ATOMIC_POSITIONS crystal
Ta 0.500 0.500 0.500
Ru 0.750 0.750 0.750
Ru 0.250 0.250 0.250
F 0.000 0.000 0.000
```

## Properties
Energy relative to the elements, uncorrected (eV per atom): 0.06
Relative energy among the computed polymorphs (meV per atom): 0

=====

Ta2RuF2: relaxed, PBE-GGA. Values from VASP.

Quantum ESPRESSO input file:
```
&SYSTEM
  ibrav = 0, nat = 5, ntyp = 3
/
ATOMIC_SPECIES
F 19.00 F.upf
Ta 180.95 Ta.upf
Ru 101.07 Ru.upf
CELL_PARAMETERS angstrom
-2.427 1.134 -3.133
0.867 -3.528 -1.949
-4.007 -3.008 -0.698
ATOMIC_POSITIONS crystal
F 0.631 0.631 0.739
F 0.369 0.369 0.261
Ta 0.750 0.250 0.500
Ta 0.250 0.750 0.500
Ru 0.000 0.000 0.000
```

## Properties
Energy relative to the elements, uncorrected (eV per atom): -0.35
Relative energy among the computed polymorphs (meV per atom): 127

=====

Tb2RuF: relaxed, PBE-GGA. Values from VASP.

Quantum ESPRESSO input file:
```
&SYSTEM
  ibrav = 0, nat = 4, ntyp = 3
/
ATOMIC_SPECIES
F 19.00 F.upf
Tb 158.93 Tb.upf
Ru 101.07 Ru.upf
CELL_PARAMETERS angstrom
3.287 0.000 0.000
0.000 3.287 0.000
0.000 0.000 7.388
ATOMIC_POSITIONS crystal
F 0.500 0.500 0.500
Tb 0.000 0.000 0.231
Ru 0.500 0.500 0.000
Tb 0.000 0.000 0.769
```

## Properties
Energy relative to the elements, uncorrected (eV per atom): -1.24
Relative energy among the computed polymorphs (meV per atom): 31

=====

Tb2RuF: relaxed, PBE-GGA. Values from VASP.

Quantum ESPRESSO input file:
```
&SYSTEM
  ibrav = 0, nat = 4, ntyp = 3
/
ATOMIC_SPECIES
F 19.00 F.upf
Tb 158.93 Tb.upf
Ru 101.07 Ru.upf
CELL_PARAMETERS angstrom
3.610 0.000 0.000
1.805 3.126 0.000
1.805 1.042 7.157
ATOMIC_POSITIONS crystal
F 0.000 0.000 0.000
Tb 0.748 0.748 0.757
Ru 0.500 0.500 0.500
Tb 0.252 0.252 0.243
```

## Properties
Energy relative to the elements, uncorrected (eV per atom): -1.27
Relative energy among the computed polymorphs (meV per atom): 0

=====

TcRuF3: relaxed, PBE-GGA. Values from VASP.

Quantum ESPRESSO input file:
```
&SYSTEM
  ibrav = 0, nat = 5, ntyp = 3
/
ATOMIC_SPECIES
F 19.00 F.upf
Tc 98.00 Tc.upf
Ru 101.07 Ru.upf
CELL_PARAMETERS angstrom
4.222 0.000 0.000
0.000 4.222 0.000
0.000 0.000 4.222
ATOMIC_POSITIONS crystal
F 0.000 0.500 0.000
F 0.500 0.000 0.000
Tc 0.500 0.500 0.500
Ru 0.000 0.000 0.000
F 0.000 0.000 0.500
```

## Properties
Energy relative to the elements, uncorrected (eV per atom): -0.14
Relative energy among the computed polymorphs (meV per atom): 0

=====

TcRuF3: relaxed, PBE-GGA. Values from VASP.

Quantum ESPRESSO input file:
```
&SYSTEM
  ibrav = 0, nat = 5, ntyp = 3
/
ATOMIC_SPECIES
Ru 101.07 Ru.upf
F 19.00 F.upf
Tc 98.00 Tc.upf
CELL_PARAMETERS angstrom
-3.872 0.367 1.541
-0.266 -4.162 0.324
1.561 0.202 3.876
ATOMIC_POSITIONS crystal
Ru 0.500 0.500 0.500
F 0.500 0.000 0.000
F 0.000 0.000 0.500
F 0.000 0.500 0.000
Tc 0.000 0.000 0.000
```

## Properties
Energy relative to the elements, uncorrected (eV per atom): -0.04
Relative energy among the computed polymorphs (meV per atom): 93